1.
Here is a relaxed TlZnOs4 crystal from Alexandria via LeMat-Bulk. Energies are from PBE-GGA.

```
data_TlZnOs4
_chemical_formula_sum 'Tl4 Zn4 Os16'
_cell_length_a 7.419
_cell_length_b 7.419
_cell_length_c 7.419
_cell_angle_alpha 90.00
_cell_angle_beta 90.00
_cell_angle_gamma 90.00
_space_group_name_H-M_alt 'F -4 3 m'
_space_group_IT_number 216
_space_group_name_Hall 'F -4 2 3'
loop_
_atom_site_label
_atom_site_fract_x
_atom_site_fract_y
_atom_site_fract_z
Tl1 0.000 0.000 0.000
Zn1 0.250 0.250 0.750
Os1 0.125 0.125 0.375
```

The value obtained for the formation energy is 0.94 eV per atom. For the calculated total energy, the calculation gives -171.74 eV for the cell shown. As for the mass density: 16.8 g/cm³.


2.
Here is a relaxed Nd8Ho2Mg crystal from Alexandria via LeMat-Bulk. Energies are from PBE-GGA.

```
data_Nd8Ho2Mg
_chemical_formula_sum 'Nd16 Ho4 Mg2'
_cell_length_a 10.465
_cell_length_b 13.329
_cell_length_c 5.509
_cell_angle_alpha 90.00
_cell_angle_beta 90.09
_cell_angle_gamma 90.00
_space_group_name_H-M_alt 'C 1 m 1'
_space_group_IT_number 8
_space_group_name_Hall 'C -2y'
loop_
_atom_site_label
_atom_site_fract_x
_atom_site_fract_y
_atom_site_fract_z
Nd1 0.000 0.000 0.000
Nd2 0.000 0.362 0.499
Nd3 0.164 0.247 0.000
Nd4 0.328 0.000 0.000
Nd5 0.328 0.362 0.501
Ho1 0.164 0.121 0.500
Mg1 0.163 0.500 0.000
```

For the energy above the most stable polymorph in this dataset, the calculation gives 0.136 eV per atom. The value obtained for the formation energy is 0.15 eV per atom. For the calculated total energy, the calculation gives -94.59 eV for the cell shown. As for the mass density: 6.5 g/cm³.


3.
Here is a relaxed Sb2PbCl crystal from Alexandria via LeMat-Bulk. Energies are from PBE-GGA.

```
data_Sb2PbCl
_chemical_formula_sum 'Sb6 Pb3 Cl3'
_cell_length_a 4.0344
_cell_length_b 4.0344
_cell_length_c 27.5279
_cell_angle_alpha 90.00
_cell_angle_beta 90.00
_cell_angle_gamma 120.00
_space_group_name_H-M_alt 'R 3 m'
_space_group_IT_number 160
_space_group_name_Hall 'R 3 -2"'
loop_
_atom_site_label
_atom_site_fract_x
_atom_site_fract_y
_atom_site_fract_z
Sb1 0.0000 0.0000 0.0000
Sb2 0.0000 0.0000 0.2704
Pb1 0.0000 0.0000 0.5058
Cl1 0.0000 0.0000 0.7697
```

The uncorrected formation energy is -0.214 eV per atom. For the energy above the most stable polymorph in this dataset, the calculation gives 0.030 eV per atom. For the calculated total energy, the calculation gives -43.97 eV for the cell shown. As for the mass density: 6.2 g/cm³.


4.
Here is a relaxed PrUNiS4 crystal from Alexandria via LeMat-Bulk. Energies are from PBE-GGA.

```
data_PrUNiS4
_chemical_formula_sum 'Pr2 U2 Ni2 S8'
_cell_length_a 6.343
_cell_length_b 5.892
_cell_length_c 7.818
_cell_angle_alpha 90.00
_cell_angle_beta 106.95
_cell_angle_gamma 90.00
_space_group_name_H-M_alt 'P 1 21/m 1'
_space_group_IT_number 11
_space_group_name_Hall '-P 2yb'
loop_
_atom_site_label
_atom_site_fract_x
_atom_site_fract_y
_atom_site_fract_z
Pr1 0.246 0.250 0.438
U1 0.259 0.250 0.943
Ni1 0.264 0.750 0.174
S1 0.067 0.750 0.897
S2 0.070 0.750 0.372
S3 0.481 0.512 0.760
```

The uncorrected formation energy is -1.360 eV per atom. For the calculated total energy, the calculation gives -95.75 eV for the cell shown. As for the mass density: 6.7 g/cm³.


5.
Here is a relaxed ScTl2Fe crystal from Alexandria via LeMat-Bulk. Energies are from PBE-GGA.

```
data_ScTl2Fe
_chemical_formula_sum 'Sc1 Tl2 Fe1'
_cell_length_a 3.320
_cell_length_b 3.320
_cell_length_c 8.055
_cell_angle_alpha 90.00
_cell_angle_beta 90.00
_cell_angle_gamma 90.00
_space_group_name_H-M_alt 'P 4 m m'
_space_group_IT_number 99
_space_group_name_Hall 'P 4 -2'
loop_
_atom_site_label
_atom_site_fract_x
_atom_site_fract_y
_atom_site_fract_z
Sc1 0.000 0.000 0.000
Tl1 0.000 0.000 0.611
Tl2 0.500 0.500 0.282
Fe1 0.500 0.500 0.823
```

For the energy above the most stable polymorph in this dataset, the calculation gives 0.002 eV per atom. The value obtained for the formation energy is 0.18 eV per atom. For the calculated total energy, the calculation gives -18.80 eV for the cell shown. As for the mass density: 9.5 g/cm³.


6.
Here is a relaxed BaMn2Cl crystal from Alexandria via LeMat-Bulk. Energies are from PBE-GGA.

```
data_BaMn2Cl
_chemical_formula_sum 'Ba2 Mn4 Cl2'
_cell_length_a 11.544
_cell_length_b 3.350
_cell_length_c 5.227
_cell_angle_alpha 90.00
_cell_angle_beta 111.13
_cell_angle_gamma 90.00
_space_group_name_H-M_alt 'C 1 2/m 1'
_space_group_IT_number 12
_space_group_name_Hall '-C 2y'
loop_
_atom_site_label
_atom_site_fract_x
_atom_site_fract_y
_atom_site_fract_z
Ba1 0.000 0.000 0.000
Mn1 0.216 0.500 0.573
Cl1 0.000 0.500 0.500
```

The uncorrected formation energy is 0.252 eV per atom. For the energy above the most stable polymorph in this dataset, the calculation gives 0.243 eV per atom. For the calculated total energy, the calculation gives -42.20 eV for the cell shown. As for the mass density: 5.0 g/cm³.


7.
Here is a relaxed HfGaRh2 crystal from Alexandria via LeMat-Bulk. Energies are from PBE-GGA.

```
data_HfGaRh2
_chemical_formula_sum 'Hf4 Ga4 Rh8'
_cell_length_a 6.865
_cell_length_b 6.865
_cell_length_c 5.870
_cell_angle_alpha 90.00
_cell_angle_beta 90.00
_cell_angle_gamma 90.00
_space_group_name_H-M_alt 'I -4 2 d'
_space_group_IT_number 122
_space_group_name_Hall 'I -4 2bw'
loop_
_atom_site_label
_atom_site_fract_x
_atom_site_fract_y
_atom_site_fract_z
Hf1 0.000 0.000 0.000
Ga1 0.000 0.000 0.500
Rh1 0.234 0.750 0.625
```

The value obtained for the formation energy is -0.36 eV per atom. For the calculated total energy, the calculation gives -116.54 eV for the cell shown. As for the mass density: 10.9 g/cm³.


8.
Here is a relaxed CaCr2P crystal from Alexandria via LeMat-Bulk. Energies are from PBE-GGA.

```
data_CaCr2P
_chemical_formula_sum 'Ca1 Cr2 P1'
_cell_length_a 4.048
_cell_length_b 4.409
_cell_length_c 4.071
_cell_angle_alpha 90.00
_cell_angle_beta 96.62
_cell_angle_gamma 90.00
_space_group_name_H-M_alt 'P 1 2/m 1'
_space_group_IT_number 10
_space_group_name_Hall '-P 2y'
loop_
_atom_site_label
_atom_site_fract_x
_atom_site_fract_y
_atom_site_fract_z
Ca1 0.000 0.000 0.000
Cr1 0.345 0.500 0.654
P1 0.500 0.000 0.500
```

The value obtained for the formation energy is 0.21 eV per atom. For the calculated total energy, the calculation gives -25.83 eV for the cell shown. As for the mass density: 4.0 g/cm³.


9.
Here is a relaxed Li2PrSe2 crystal from Alexandria via LeMat-Bulk. Energies are from PBE-GGA.

```
data_Li2PrSe2
_chemical_formula_sum 'Li6 Pr3 Se6'
_cell_length_a 4.1459
_cell_length_b 4.1459
_cell_length_c 23.8996
_cell_angle_alpha 90.00
_cell_angle_beta 90.00
_cell_angle_gamma 120.00
_space_group_name_H-M_alt 'R -3 m'
_space_group_IT_number 166
_space_group_name_Hall '-R 3 2"'
loop_
_atom_site_label
_atom_site_fract_x
_atom_site_fract_y
_atom_site_fract_z
Li1 0.0000 0.0000 0.2234
Pr1 0.0000 0.0000 0.0000
Se1 0.0000 0.0000 0.4134
```

The uncorrected formation energy is -1.355 eV per atom. For the calculated total energy, the calculation gives -67.05 eV for the cell shown. As for the mass density: 4.4 g/cm³.


10.
Here is a relaxed LaZnPt crystal from Alexandria via LeMat-Bulk. Energies are from PBE-GGA.

```
data_LaZnPt
_chemical_formula_sum 'La2 Zn2 Pt2'
_cell_length_a 3.551
_cell_length_b 3.551
_cell_length_c 10.294
_cell_angle_alpha 90.00
_cell_angle_beta 90.00
_cell_angle_gamma 90.00
_space_group_name_H-M_alt 'I 4 m m'
_space_group_IT_number 107
_space_group_name_Hall 'I 4 -2'
loop_
_atom_site_label
_atom_site_fract_x
_atom_site_fract_y
_atom_site_fract_z
La1 0.000 0.000 0.000
Zn1 0.000 0.000 0.706
Pt1 0.000 0.000 0.316
```

The value obtained for the formation energy is -0.66 eV per atom. For the calculated total energy, the calculation gives -28.44 eV for the cell shown. As for the mass density: 10.2 g/cm³.


11.
Here is a relaxed CeNdGaHg crystal from Alexandria via LeMat-Bulk. Energies are from PBE-GGA.

```
data_CeNdGaHg
_chemical_formula_sum 'Ce1 Nd1 Ga1 Hg1'
_cell_length_a 3.510
_cell_length_b 3.510
_cell_length_c 8.416
_cell_angle_alpha 90.00
_cell_angle_beta 90.00
_cell_angle_gamma 90.00
_space_group_name_H-M_alt 'P 4 m m'
_space_group_IT_number 99
_space_group_name_Hall 'P 4 -2'
loop_
_atom_site_label
_atom_site_fract_x
_atom_site_fract_y
_atom_site_fract_z
Ce1 0.000 0.000 0.000
Nd1 0.000 0.000 0.530
Ga1 0.500 0.500 0.767
Hg1 0.500 0.500 0.266
```

For the energy above the most stable polymorph in this dataset, the calculation gives 0.000 eV per atom. The value obtained for the formation energy is -0.44 eV per atom. For the calculated total energy, the calculation gives -15.81 eV for the cell shown. As for the mass density: 8.9 g/cm³.


12.
Here is a relaxed Ba2P crystal from Alexandria via LeMat-Bulk. Energies are from PBE-GGA.

```
data_Ba2P
_chemical_formula_sum 'Ba8 P4'
_cell_length_a 4.028
_cell_length_b 4.028
_cell_length_c 32.294
_cell_angle_alpha 90.00
_cell_angle_beta 90.00
_cell_angle_gamma 90.00
_space_group_name_H-M_alt 'I 41/a m d'
_space_group_IT_number 141
loop_
_space_group_symop_operation_xyz
'x,y,z'
'-x,-y,-z'
'-y+1/4,x+3/4,z+1/4'
'y+1/4,-x+3/4,-z+1/4'
'-x+1/2,-y,z+1/2'
'x+1/2,y,-z+1/2'
'y+1/4,-x+1/4,z+3/4'
'-y+1/4,x+1/4,-z+3/4'
'x,-y,-z'
'-x,y,z'
'-y+1/4,-x+1/4,-z+3/4'
'y+1/4,x+1/4,z+3/4'
'-x+1/2,y,-z+1/2'
'x+1/2,-y,z+1/2'
'y+1/4,x+3/4,-z+1/4'
'-y+1/4,-x+3/4,z+1/4'
'x+1/2,y+1/2,z+1/2'
'-x+1/2,-y+1/2,-z+1/2'
'-y+3/4,x+1/4,z+3/4'
'y+3/4,-x+1/4,-z+3/4'
'-x,-y+1/2,z'
'x,y+1/2,-z'
'y+3/4,-x+3/4,z+1/4'
'-y+3/4,x+3/4,-z+1/4'
'x+1/2,-y+1/2,-z+1/2'
'-x+1/2,y+1/2,z+1/2'
'-y+3/4,-x+3/4,-z+1/4'
'y+3/4,x+3/4,z+1/4'
'-x,y+1/2,-z'
'x,-y+1/2,z'
'y+3/4,x+1/4,-z+3/4'
'-y+3/4,-x+1/4,z+3/4'
loop_
_atom_site_label
_atom_site_fract_x
_atom_site_fract_y
_atom_site_fract_z
Ba1 0.000 0.250 0.323
P1 0.000 0.250 0.875
```

The value obtained for the formation energy is -0.70 eV per atom. For the calculated total energy, the calculation gives -45.37 eV for the cell shown. As for the mass density: 3.9 g/cm³.